[1]
First-principles (PBE-GGA) data for a relaxed structure of TaAuBr2, as listed in the Alexandria database.

The structure in POSCAR format:
```
TaAuBr2
1.0
-0.057 5.114 0.557
-4.493 -1.130 -2.237
-1.355 -0.330 2.889
Br Ta Au
2 1 1
direct
0.500 0.500 0.000
0.000 0.000 0.000
0.500 0.000 0.500
0.000 0.500 0.500
```

- ρ: 10.88 g/cm3
- Crystal system: orthorhombic
- Polymorph energy (0 for the lowest one): 1013 meV/atom
- Energy relative to the elements, uncorrected: 3.07 eV/f.u.
- Space group: Cmmm
- Calculated total energy: -15.41 eV per formula unit



[2]
First-principles (PBE-GGA) data for a relaxed structure of Ta2AuBr, as listed in the Alexandria database.

The structure in POSCAR format:
```
Ta2AuBr
1.0
2.980 -0.009 0.000
-1.227 2.716 0.000
0.000 0.000 9.412
Au Br Ta
1 1 2
direct
0.500 0.500 0.250
0.500 0.500 0.750
0.000 0.000 0.499
0.000 0.000 0.001
```

- ρ: 13.95 g/cm3
- Crystal system: orthorhombic
- Polymorph energy (0 for the lowest one): 447 meV/atom
- Energy relative to the elements, uncorrected: 2.13 eV/f.u.
- Space group: Cmmm
- Calculated total energy: -26.52 eV per formula unit



[3]
First-principles (PBE-GGA) data for a relaxed structure of Ta2AuBr, as listed in the Alexandria database.

The structure in POSCAR format:
```
Ta2AuBr
1.0
4.798 0.000 0.000
2.399 4.155 0.000
2.399 1.385 3.917
Ta Br Au
2 1 1
direct
0.000 0.000 0.000
0.250 0.250 0.250
0.750 0.750 0.750
0.500 0.500 0.500
```

- ρ: 13.58 g/cm3
- Crystal system: cubic
- Polymorph energy (0 for the lowest one): 886 meV/atom
- Energy relative to the elements, uncorrected: 3.88 eV/f.u.
- Space group: F-43m
- Calculated total energy: -24.77 eV per formula unit



[4]
First-principles (PBE-GGA) data for a relaxed structure of TaAuBr2, as listed in the Alexandria database.

The structure in POSCAR format:
```
TaAuBr2
1.0
-1.307 -1.624 -2.382
5.072 -2.372 -1.167
-0.959 -3.477 2.896
Br Ta Au
2 1 1
direct
0.500 0.500 0.000
0.000 0.000 0.000
0.500 0.000 0.500
0.000 0.500 0.500
```

- ρ: 10.66 g/cm3
- Crystal system: orthorhombic
- Polymorph energy (0 for the lowest one): 924 meV/atom
- Energy relative to the elements, uncorrected: 2.71 eV/f.u.
- Space group: Pmmm
- Calculated total energy: -15.76 eV per formula unit



[5]
First-principles (PBE-GGA) data for a relaxed structure of TaAu3Br, as listed in the Alexandria database.

The structure in POSCAR format:
```
TaAu3Br
1.0
5.188 0.000 0.000
0.000 5.188 0.000
0.000 0.000 5.188
Ta Au Br
1 3 1
direct
0.000 0.000 0.000
0.000 0.000 0.500
0.000 0.500 0.000
0.500 0.000 0.000
0.500 0.500 0.500
```

- ρ: 10.13 g/cm3
- Crystal system: cubic
- Polymorph energy (0 for the lowest one): 0 meV/atom
- Energy relative to the elements, uncorrected: 4.73 eV/f.u.
- Space group: Pm-3m
- Calculated total energy: -18.62 eV per formula unit



[6]
First-principles (PBE-GGA) data for a relaxed structure of Ta2AuBr, as listed in the Alexandria database.

The structure in POSCAR format:
```
Ta2AuBr
1.0
5.687 -0.008 -0.025
-2.523 4.711 0.012
0.641 0.913 2.786
Ta Au Br
2 1 1
direct
0.500 0.000 0.500
0.000 0.000 0.000
0.000 0.500 0.500
0.500 0.500 0.000
```

- ρ: 14.21 g/cm3
- Crystal system: monoclinic
- Polymorph energy (0 for the lowest one): 490 meV/atom
- Energy relative to the elements, uncorrected: 2.30 eV/f.u.
- Space group: C2/m
- Calculated total energy: -26.35 eV per formula unit



[7]
First-principles (PBE-GGA) data for a relaxed structure of Ta2AuBr, as listed in the Alexandria database.

The structure in POSCAR format:
```
Ta2AuBr
1.0
-2.788 -0.668 3.978
-1.151 -3.171 3.559
3.420 1.565 4.013
Au Ta Br
1 2 1
direct
0.750 0.750 0.750
0.501 0.501 0.519
0.999 0.999 0.981
0.250 0.250 0.250
```

- ρ: 14.00 g/cm3
- Crystal system: monoclinic
- Polymorph energy (0 for the lowest one): 341 meV/atom
- Energy relative to the elements, uncorrected: 1.70 eV/f.u.
- Space group: C2/m
- Calculated total energy: -26.95 eV per formula unit



[8]
First-principles (PBE-GGA) data for a relaxed structure of TaAuBr2, as listed in the Alexandria database.

The structure in POSCAR format:
```
TaAuBr2
1.0
7.369 0.017 -0.004
5.068 5.349 0.004
-5.731 -3.813 2.630
Ta Br Au
1 2 1
direct
0.507 0.507 0.000
0.992 0.992 0.000
0.665 0.165 0.500
0.337 0.837 0.500
```

- ρ: 8.63 g/cm3
- Crystal system: orthorhombic
- Polymorph energy (0 for the lowest one): 370 meV/atom
- Energy relative to the elements, uncorrected: 0.50 eV/f.u.
- Space group: Imm2
- Calculated total energy: -17.98 eV per formula unit



[9]
First-principles (PBE-GGA) data for a relaxed structure of Ta2AuBr, as listed in the Alexandria database.

The structure in POSCAR format:
```
Ta2AuBr
1.0
-1.494 -1.081 -2.505
2.322 -2.003 -0.521
-3.347 -4.957 4.135
Au Ta Br
1 2 1
direct
0.500 0.500 0.250
0.000 0.000 0.508
0.000 0.000 0.992
0.500 0.500 0.750
```

- ρ: 15.08 g/cm3
- Crystal system: tetragonal
- Polymorph energy (0 for the lowest one): 290 meV/atom
- Energy relative to the elements, uncorrected: 1.50 eV/f.u.
- Space group: P4/mmm
- Calculated total energy: -27.16 eV per formula unit



[10]
First-principles (PBE-GGA) data for a relaxed structure of Ta2AuBr, as listed in the Alexandria database.

The structure in POSCAR format:
```
Ta2AuBr
1.0
-2.463 3.320 -0.526
-2.415 -2.202 -2.585
-7.779 -2.235 5.812
Au Ta Br
2 4 2
direct
0.750 0.250 0.500
0.000 0.000 0.000
0.875 0.885 0.750
0.635 0.125 0.250
0.115 0.625 0.250
0.375 0.365 0.750
0.500 0.500 0.000
0.250 0.750 0.500
```

- ρ: 12.84 g/cm3
- Crystal system: tetragonal
- Polymorph energy (0 for the lowest one): 669 meV/atom
- Energy relative to the elements, uncorrected: 3.02 eV/f.u.
- Space group: I-42d
- Calculated total energy: -25.64 eV per formula unit



[11]
First-principles (PBE-GGA) data for a relaxed structure of ZrTa2AuBr, as listed in the Alexandria database.

The structure in POSCAR format:
```
ZrTa2AuBr
1.0
4.692 0.000 0.000
0.000 4.959 0.000
0.000 0.000 4.692
Ta Br Zr Au
2 1 1 1
direct
0.500 0.000 0.000
0.000 0.000 0.500
0.000 0.000 0.000
0.000 0.500 0.000
0.500 0.500 0.500
```

- ρ: 11.10 g/cm3
- Crystal system: tetragonal
- Energy relative to the elements, uncorrected: 5.65 eV/f.u.
- Space group: P4/mmm
- Calculated total energy: -31.55 eV per formula unit



[12]
First-principles (PBE-GGA) data for a relaxed structure of Tb3AuBr3, as listed in the Alexandria database.

The structure in POSCAR format:
```
Tb3AuBr3
1.0
-7.965 1.794 6.288
0.752 -10.120 -1.790
8.684 3.363 4.412
Au Tb Br
4 12 12
direct
0.750 0.500 0.000
0.000 0.000 0.250
0.500 0.250 0.500
0.750 0.250 0.250
0.762 0.012 0.025
0.512 0.488 0.750
0.512 0.025 0.262
0.250 0.238 0.262
0.988 0.238 0.475
0.975 0.488 0.238
0.738 0.262 0.750
0.762 0.750 0.238
0.250 0.012 0.488
0.988 0.750 0.012
0.738 0.475 0.488
0.525 0.262 0.012
0.750 0.755 0.745
0.495 0.505 0.250
0.005 0.755 0.510
0.255 0.510 0.505
0.255 0.745 0.250
0.245 0.995 0.990
0.245 0.250 0.755
0.010 0.505 0.755
0.005 0.250 0.995
0.495 0.990 0.745
0.490 0.745 0.995
0.750 0.995 0.505
```

- ρ: 7.20 g/cm3
- Crystal system: cubic
- Energy relative to the elements, uncorrected: -9.00 eV/f.u.
- Space group: I4_132
- Calculated total energy: -31.18 eV per formula unit



[13]
First-principles (PBE-GGA) data for a relaxed structure of Tb7AuBr12, as listed in the Alexandria database.

The structure in POSCAR format:
```
Tb7AuBr12
1.0
-7.011 4.563 3.989
2.529 -6.898 5.649
7.153 5.839 -0.794
Br Tb Au
12 7 1
direct
0.162 0.396 0.479
0.221 0.075 0.688
0.479 0.162 0.396
0.779 0.925 0.312
0.688 0.221 0.075
0.075 0.688 0.221
0.312 0.779 0.925
0.925 0.312 0.779
0.838 0.604 0.521
0.396 0.479 0.162
0.604 0.521 0.838
0.521 0.838 0.604
0.957 0.668 0.880
0.120 0.043 0.332
0.880 0.957 0.668
0.500 0.500 0.500
0.332 0.120 0.043
0.043 0.332 0.120
0.668 0.880 0.957
0.000 0.000 0.000
```

- ρ: 5.87 g/cm3
- Crystal system: trigonal
- Energy relative to the elements, uncorrected: -31.21 eV/f.u.
- Space group: R-3
- Calculated total energy: -86.98 eV per formula unit



[14]
First-principles (PBE-GGA) data for a relaxed structure of TbAu2Br6, as listed in the Alexandria database.

The structure in POSCAR format:
```
TbAu2Br6
1.0
7.845 0.044 0.042
2.327 9.431 -0.378
2.327 -0.072 9.438
Au Br Tb
4 12 2
direct
0.789 0.218 0.357
0.711 0.643 0.782
0.289 0.357 0.218
0.211 0.782 0.643
0.243 0.031 0.647
0.131 0.812 0.001
0.869 0.188 0.999
0.743 0.647 0.031
0.924 0.418 0.367
0.424 0.367 0.418
0.757 0.969 0.353
0.257 0.353 0.969
0.576 0.633 0.582
0.631 0.001 0.812
0.369 0.999 0.188
0.076 0.582 0.633
0.250 0.064 0.936
0.750 0.936 0.064
```

- ρ: 4.92 g/cm3
- Crystal system: monoclinic
- Energy relative to the elements, uncorrected: -7.32 eV/f.u.
- Space group: C2/c
- Calculated total energy: -28.55 eV per formula unit



[15]
First-principles (PBE-GGA) data for a relaxed structure of Tb2AuBr2, as listed in the Alexandria database.

The structure in POSCAR format:
```
Tb2AuBr2
1.0
3.886 0.000 0.906
1.838 3.424 0.906
-0.634 -0.379 11.514
Tb Br Au
2 2 1
direct
0.612 0.612 0.163
0.388 0.388 0.837
0.224 0.224 0.329
0.776 0.776 0.671
0.000 0.000 0.000
```

- ρ: 7.19 g/cm3
- Crystal system: trigonal
- Energy relative to the elements, uncorrected: -6.64 eV/f.u.
- Space group: R-3m
- Calculated total energy: -22.52 eV per formula unit



[16]
First-principles (PBE-GGA) data for a relaxed structure of TbAuBr, as listed in the Alexandria database.

The structure in POSCAR format:
```
TbAuBr
1.0
3.601 0.505 -0.889
-0.932 11.814 2.940
-2.587 -1.332 4.531
Tb Au Br
2 2 2
direct
0.000 0.182 0.250
0.000 0.818 0.750
0.000 0.070 0.750
0.000 0.930 0.250
0.500 0.355 0.250
0.500 0.645 0.750
```

- ρ: 8.18 g/cm3
- Crystal system: orthorhombic
- Energy relative to the elements, uncorrected: -3.48 eV/f.u.
- Space group: Pmmn
- Calculated total energy: -13.06 eV per formula unit



[17]
First-principles (PBE-GGA) data for a relaxed structure of Tc3AuBr, as listed in the Alexandria database.

The structure in POSCAR format:
```
Tc3AuBr
1.0
5.168 0.000 0.000
0.000 5.168 0.000
0.000 0.000 5.168
Au Br Tc
1 1 3
direct
0.000 0.000 0.000
0.500 0.500 0.500
0.500 0.000 0.000
0.000 0.000 0.500
0.000 0.500 0.000
```

- ρ: 6.87 g/cm3
- Crystal system: cubic
- Polymorph energy (0 for the lowest one): 557 meV/atom
- Energy relative to the elements, uncorrected: 10.71 eV/f.u.
- Space group: Pm-3m
- Calculated total energy: -25.33 eV per formula unit



[18]
First-principles (PBE-GGA) data for a relaxed structure of TcAuBr2, as listed in the Alexandria database.

The structure in POSCAR format:
```
TcAuBr2
1.0
-4.195 -1.569 -3.642
1.693 -5.233 1.754
-2.544 -1.721 1.608
Au Br Tc
1 2 1
direct
0.000 0.500 0.500
0.500 0.500 0.000
0.000 0.000 0.000
0.500 0.000 0.500
```

- ρ: 8.12 g/cm3
- Crystal system: monoclinic
- Polymorph energy (0 for the lowest one): 532 meV/atom
- Energy relative to the elements, uncorrected: 2.90 eV/f.u.
- Space group: C2/m
- Calculated total energy: -14.09 eV per formula unit



[19]
First-principles (PBE-GGA) data for a relaxed structure of TcAuBr2, as listed in the Alexandria database.

The structure in POSCAR format:
```
TcAuBr2
1.0
4.382 0.000 0.000
0.000 3.356 0.011
0.000 -0.450 5.935
Au Tc Br
1 1 2
direct
0.500 0.750 0.750
0.500 0.250 0.250
0.000 0.057 0.015
0.000 0.443 0.485
```

- ρ: 8.65 g/cm3
- Crystal system: monoclinic
- Polymorph energy (0 for the lowest one): 513 meV/atom
- Energy relative to the elements, uncorrected: 2.82 eV/f.u.
- Space group: P2/m
- Calculated total energy: -14.16 eV per formula unit



[20]
First-principles (PBE-GGA) data for a relaxed structure of TcAu3Br, as listed in the Alexandria database.

The structure in POSCAR format:
```
TcAu3Br
1.0
-2.530 -4.308 0.978
3.660 -2.676 -2.315
2.473 -0.447 4.427
Au Br Tc
3 1 1
direct
0.500 0.000 0.000
0.000 0.500 0.000
0.000 0.000 0.500
0.500 0.500 0.500
0.000 0.000 0.000
```

- ρ: 9.68 g/cm3
- Crystal system: cubic
- Polymorph energy (0 for the lowest one): 0 meV/atom
- Energy relative to the elements, uncorrected: 5.90 eV/f.u.
- Space group: Pm-3m
- Calculated total energy: -15.97 eV per formula unit